Entry 1:
A relaxed structure of MgAlIn. Source: Alexandria, functional PBE.

Computed properties:
- Total energy: -2.617 eV per atom
- Calculated density: 4.2 Mg/m³
- Symmetry: No. 5
- Calculated formation energy: 75 meV/atom

a = 5.489 Å, b = 5.489 Å, c = 5.351 Å
α = 99.48°, β = 99.48°, γ = 121.15°
Fractional coordinates of all 6 atoms:
Mg  0.000  0.000  0.000
Mg  0.824  0.176  0.500
Al  0.158  0.842  0.500
Al  0.317  0.683  0.000
In  0.480  0.520  0.500
In  0.669  0.331  0.000



Entry 2:
A relaxed structure of Nd3Ni2Sn7. Source: Alexandria, functional PBE.

Computed properties:
- Total energy: -5.065 eV per atom
- Calculated density: 7.8 Mg/m³
- Symmetry: No. 10
- Calculated formation energy: -575 meV/atom

a = 4.623 Å, b = 4.588 Å, c = 14.020 Å
α = 90.00°, β = 99.47°, γ = 90.00°
Fractional coordinates of all 12 atoms:
Nd  0.000  0.000  0.000
Nd  0.315  0.500  0.630
Nd  0.685  0.500  0.370
Ni  0.129  0.000  0.257
Ni  0.871  0.000  0.743
Sn  0.089  0.500  0.180
Sn  0.219  0.000  0.437
Sn  0.409  0.000  0.819
Sn  0.500  0.500  0.000
Sn  0.591  0.000  0.181
Sn  0.781  0.000  0.563
Sn  0.911  0.500  0.820



Entry 3:
A relaxed structure of Ba2ZnCd2. Source: Alexandria, functional PBE.

Computed properties:
- Offset from the most stable computed form: 217 meV per atom
- Total energy: -1.431 eV per atom
- Calculated density: 4.9 Mg/m³
- Symmetry: No. 139
- Calculated formation energy: -41 meV/atom

a = 6.352 Å, b = 6.352 Å, c = 6.352 Å
α = 115.43°, β = 115.43°, γ = 98.12°
Fractional coordinates of all 5 atoms:
Ba  0.250  0.750  0.500
Ba  0.750  0.250  0.500
Zn  0.000  0.000  0.000
Cd  0.336  0.336  0.000
Cd  0.664  0.664  0.000